# 1
CoSi2Pd: optimized geometry, PBE. Values from VASP.

Computed properties:
Formation energy without anion corrections = -0.367 eV/atom
Magnetic moment = 0.000 μB/atom
Relative energy among the computed polymorphs = 0.00 kcal/mol of atoms
DOS at the Fermi energy = 0.406 states/eV per atom
Space-group type = No. 160

```
&SYSTEM
  ibrav = 0, nat = 4, ntyp = 3
/
ATOMIC_SPECIES
Co 58.93 Co.upf
Si 28.09 Si.upf
Pd 106.42 Pd.upf
CELL_PARAMETERS angstrom
-1.360 -3.131 1.502
1.719 -3.256 -0.599
2.659 -1.466 3.983
ATOMIC_POSITIONS crystal
Co 0.682 0.682 0.954
Si 0.059 0.059 0.823
Si 0.269 0.269 0.192
Pd 0.490 0.490 0.532
```

***

# 2
Tc2SbAu: optimized geometry, PBE. Values from VASP.

Computed properties:
Formation energy without anion corrections = 0.545 eV/atom
Magnetic moment = 0.022 μB/atom
DOS at the Fermi energy = 1.151 states/eV per atom
Space-group type = No. 47

```
&SYSTEM
  ibrav = 0, nat = 4, ntyp = 3
/
ATOMIC_SPECIES
Au 196.97 Au.upf
Sb 121.76 Sb.upf
Tc 98.00 Tc.upf
CELL_PARAMETERS angstrom
3.088 0.000 0.000
0.000 4.811 0.000
0.000 0.000 4.660
ATOMIC_POSITIONS crystal
Au 0.500 0.000 0.500
Sb 0.000 0.500 0.500
Tc 0.000 0.000 0.000
Tc 0.500 0.500 0.000
```

***

# 3
Mg3SnSe: optimized geometry, PBE. Values from VASP.

Computed properties:
Formation energy without anion corrections = -0.009 eV/atom
Magnetic moment = 0.000 μB/atom
Relative energy among the computed polymorphs = 3.20 kcal/mol of atoms
DOS at the Fermi energy = 0.000 states/eV per atom
Space-group type = No. 221

```
&SYSTEM
  ibrav = 0, nat = 5, ntyp = 3
/
ATOMIC_SPECIES
Mg 24.30 Mg.upf
Sn 118.71 Sn.upf
Se 78.96 Se.upf
CELL_PARAMETERS angstrom
-3.631 -2.169 -3.148
-0.218 -4.217 3.158
-3.817 2.305 2.815
ATOMIC_POSITIONS crystal
Mg 0.000 0.500 0.000
Mg 0.000 0.000 0.500
Mg 0.500 0.000 0.000
Sn 0.000 0.000 0.000
Se 0.500 0.500 0.500
```